w:
5
Lattice="4.985 0.000 0.000 0.000 4.985 0.000 0.000 0.000 5.098" Properties=species:S:1:pos:R:3 comment="GaPdSe2Br, optimized geometry, DFT PBE" total_magnetization_mub_per_cell=1.54 pbc="T T T"
Ga 0.000 0.000 0.000
Se 2.493 0.000 0.000
Se 0.000 2.493 0.000
Pd 2.493 2.493 2.549
Br 0.000 0.000 2.549

---

x:
5
Lattice="-0.707 2.996 3.897 -0.512 -3.960 2.952 5.260 0.020 0.939" Properties=species:S:1:pos:R:3 comment="GaPdSe2Br, optimized geometry, DFT PBE" total_magnetization_mub_per_cell=0.91 pbc="T T T"
Br 2.630 0.010 0.469
Se -0.256 -1.980 1.476
Se -0.354 1.498 1.948
Ga 2.020 -0.472 3.894
Pd 0.000 0.000 0.000

---

Which is the most stable structure? x is the most stable.

---

w:
4
Lattice="-2.556 -0.760 -2.296 -1.903 -1.429 2.592 -3.520 7.369 1.479" Properties=species:S:1:pos:R:3 comment="Pm2GaBr, optimized geometry, DFT PBE" total_magnetization_mub_per_cell=0.00 pbc="T T T"
Br -3.990 2.590 0.887
Ga -2.230 -1.095 0.148
Pm -0.801 1.677 0.336
Pm -2.719 5.692 1.142

---

x:
4
Lattice="-1.009 1.378 3.411 -3.633 0.947 0.677 -3.128 -7.283 4.150" Properties=species:S:1:pos:R:3 comment="Pm2GaBr, optimized geometry, DFT PBE" total_magnetization_mub_per_cell=0.00 pbc="T T T"
Pm -2.755 -5.381 3.492
Pm -1.918 -1.118 2.017
Br -3.889 -2.500 4.126
Ga -6.220 -5.724 6.871

---

y:
4
Lattice="-0.872 -4.145 0.610 3.094 -2.924 -0.436 2.357 -1.679 6.974" Properties=species:S:1:pos:R:3 comment="Pm2GaBr, optimized geometry, DFT PBE" total_magnetization_mub_per_cell=0.00 pbc="T T T"
Br 2.289 -4.374 3.574
Pm 3.471 -6.545 5.520
Pm 1.107 -2.202 1.628
Ga 0.000 0.000 0.000

---

Which is the most stable structure? y is the most stable.

---

w:
8
Lattice="4.271 0.000 0.000 0.000 4.271 0.000 2.135 2.135 8.491" Properties=species:S:1:pos:R:3 comment="GaPt2Br, optimized geometry, DFT PBE" total_magnetization_mub_per_cell=0.00 pbc="T T T"
Pt 3.203 3.321 6.368
Pt 1.186 3.203 2.123
Pt 5.339 5.221 6.368
Pt 3.085 1.068 2.123
Ga 2.135 4.271 4.246
Ga 2.135 2.135 0.000
Br 4.271 2.135 4.246
Br 0.000 0.000 0.000

---

x:
4
Lattice="2.874 -3.460 -0.935 -1.381 -4.347 0.554 -0.730 -2.664 -3.671" Properties=species:S:1:pos:R:3 comment="GaPt2Br, optimized geometry, DFT PBE" total_magnetization_mub_per_cell=0.00 pbc="T T T"
Ga 0.000 0.000 0.000
Pt 0.191 -2.618 -1.013
Pt 0.572 -7.853 -3.039
Br 0.381 -5.235 -2.026

---

Which is the most stable structure? w is the most stable.

---

w:
4
Lattice="-1.925 -3.964 -2.038 -3.202 -2.688 2.469 -4.673 -0.027 -1.316" Properties=species:S:1:pos:R:3 comment="Ga2PtBr, optimized geometry, DFT PBE" total_magnetization_mub_per_cell=0.00 pbc="T T T"
Ga -7.350 -5.009 -0.664
Ga -2.450 -1.670 -0.221
Br 0.000 0.000 0.000
Pt -4.900 -3.339 -0.443

---

x:
8
Lattice="-2.308 -3.685 -4.334 3.813 -4.474 1.773 -3.434 -6.087 2.656" Properties=species:S:1:pos:R:3 comment="Ga2PtBr, optimized geometry, DFT PBE" total_magnetization_mub_per_cell=0.00 pbc="T T T"
Ga -0.980 -12.032 -0.119
Ga 1.405 -4.509 1.548
Ga -2.290 -7.298 0.902
Ga -1.993 -4.654 -2.141
Pt 0.000 0.000 0.000
Pt -2.495 -6.926 -1.480
Br 0.752 -4.080 -1.281
Br 0.566 -7.320 1.574

---

Which is the most stable structure? x is the most stable.

---

w:
5
Lattice="-4.321 -1.589 1.730 1.820 -4.555 0.362 1.603 1.035 4.956" Properties=species:S:1:pos:R:3 comment="GaPtSeBr2, optimized geometry, DFT PBE" total_magnetization_mub_per_cell=0.87 pbc="T T T"
Br 0.910 -2.278 0.181
Br -2.161 -0.795 0.865
Ga 0.000 0.000 0.000
Se 0.802 0.517 2.478
Pt -0.449 -2.555 3.524

---

x:
5
Lattice="5.356 0.000 0.000 0.000 5.356 0.000 0.000 0.000 4.830" Properties=species:S:1:pos:R:3 comment="GaPtSeBr2, optimized geometry, DFT PBE" total_magnetization_mub_per_cell=0.00 pbc="T T T"
Se 0.000 0.000 2.415
Ga 2.678 2.678 2.415
Br 2.678 0.000 0.000
Br 0.000 2.678 0.000
Pt 0.000 0.000 0.000

---

Which is the most stable structure? x is the most stable.

---

w:
11
Lattice="-5.032 -1.857 -4.260 -1.462 -7.567 3.175 -6.361 0.754 5.334" Properties=species:S:1:pos:R:3 comment="PuGa2Br8, optimized geometry, DFT PBE" total_magnetization_mub_per_cell=5.95 pbc="T T T"
Br -7.466 -1.994 4.839
Br -4.420 -7.167 3.496
Br -4.987 -2.582 -1.365
Br -8.435 -1.504 0.752
Br -3.890 -2.899 2.348
Br -8.965 -5.771 1.900
Br -5.389 -6.677 -0.590
Br -7.868 -6.089 5.614
Pu 0.000 0.000 0.000
Ga -3.286 -2.010 0.289
Ga -9.569 -6.661 3.960

---

x:
22
Lattice="9.722 0.000 4.291 3.728 9.203 4.713 0.966 1.528 10.969" Properties=species:S:1:pos:R:3 comment="PuGa2Br8, optimized geometry, DFT PBE" total_magnetization_mub_per_cell=12.02 pbc="T T T"
Br 3.191 6.179 3.511
Br 9.259 7.108 6.518
Br 10.819 8.389 12.545
Br 7.408 7.460 10.711
Br 11.225 4.552 16.462
Br 9.712 1.533 11.629
Br 5.688 5.371 6.115
Br 3.681 5.575 9.213
Br 5.157 3.622 13.455
Br 10.734 5.156 10.760
Br 8.728 5.360 13.858
Br 7.809 0.209 4.229
Br 4.704 9.197 8.344
Br 3.597 2.342 7.428
Br 7.007 3.271 9.262
Br 6.607 10.522 15.743
Pu 3.347 7.284 6.414
Pu 11.069 3.447 13.559
Ga 5.202 4.013 8.046
Ga 12.340 9.379 18.002
Ga 9.214 6.718 11.927
Ga 2.075 1.352 1.971

---

Which is the most stable structure? x is the most stable.

---

w:
11
Lattice="-3.949 2.055 -6.008 -7.228 -5.542 -0.390 -8.033 3.026 3.070" Properties=species:S:1:pos:R:3 comment="RbGa2Br8, optimized geometry, DFT PBE" total_magnetization_mub_per_cell=0.50 pbc="T T T"
Br -5.053 -0.663 0.466
Br -13.633 -1.210 -0.176
Br -10.020 -3.415 -1.179
Br -5.578 0.749 -3.152
Br -14.158 0.202 -3.794
Br -10.493 1.619 0.854
Br -9.191 2.954 -2.148
Br -8.718 -2.080 -4.181
Ga -4.050 0.213 -1.471
Ga -15.161 -0.675 -1.857
Rb 0.000 0.000 0.000

---

x:
11
Lattice="7.791 0.000 0.000 -3.896 6.474 -2.494 0.000 0.427 8.844" Properties=species:S:1:pos:R:3 comment="RbGa2Br8, optimized geometry, DFT PBE" total_magnetization_mub_per_cell=1.16 pbc="T T T"
Br 0.000 5.508 5.015
Br 0.000 2.086 3.089
Br -1.988 4.482 -0.031
Br 1.988 4.482 -0.031
Br 3.896 1.393 1.335
Br 3.896 4.815 3.261
Br 1.908 2.420 6.381
Br 5.883 2.420 6.381
Rb 0.000 0.000 0.000
Ga 0.000 3.183 5.161
Ga 3.896 3.719 1.189

---

Which is the most stable structure? w is the most stable.

---

w:
8
Lattice="-2.396 3.944 -1.224 -2.741 -2.577 -2.939 -10.309 -1.251 6.833" Properties=species:S:1:pos:R:3 comment="RbGa2Br, optimized geometry, DFT PBE" total_magnetization_mub_per_cell=0.00 pbc="T T T"
Br -2.569 0.684 -2.082
Br -7.809 -1.572 0.906
Ga -10.034 -0.780 3.159
Ga -11.850 0.612 1.885
Ga -4.919 -0.889 -0.450
Ga -4.088 1.289 0.744
Rb 0.000 0.000 0.000
Rb -7.637 1.688 1.763

---

x:
4
Lattice="0.000 4.017 4.017 4.017 0.000 4.017 4.017 4.017 0.000" Properties=species:S:1:pos:R:3 comment="RbGa2Br, optimized geometry, DFT PBE" total_magnetization_mub_per_cell=0.00 pbc="T T T"
Ga 6.025 6.025 6.025
Ga 2.008 2.008 2.008
Rb 4.017 4.017 4.017
Br 0.000 0.000 0.000

---

Which is the most stable structure? w is the most stable.